[1]
Entry from Alexandria: a geometry-optimized ScRhW2 structure (PBE).

Calculated values
ΔE to the lowest computed polymorph: 224 meV/atom
Total magnetization: 0.000 μB per atom
E: -9.808 eV per atom
DFT formation energy: 34 kJ/mol of formula units
V: 16.7 A^3/atom

Cell: 2.783 2.783 8.621 Å, 90.00 90.00 90.00°
Space group P4/mmm (No. 123)
Unique sites:
Sc  0.000  0.000  0.000 (multiplicity 1)
Rh  0.000  0.000  0.500 (multiplicity 1)
W  0.500  0.500  0.273 (multiplicity 2)

[2]
Entry from Alexandria: a geometry-optimized Sc2RhW structure (PBE).

Calculated values
ΔE to the lowest computed polymorph: 262 meV/atom
Total magnetization: 0.001 μB per atom
E: -8.213 eV per atom
DFT formation energy: 11 kJ/mol of formula units
V: 17.3 A^3/atom

Cell: 6.521 6.521 6.521 Å, 90.00 90.00 90.00°
Space group F-43m (No. 216)
Unique sites:
Sc  0.000  0.000  0.000 (multiplicity 4)
Sc  0.250  0.250  0.250 (multiplicity 4)
Rh  0.250  0.250  0.750 (multiplicity 4)
W  0.000  0.000  0.500 (multiplicity 4)

[3]
Entry from Alexandria: a geometry-optimized ScRh6W structure (PBE).

Calculated values
Total magnetization: 0.000 μB per atom
E: -8.400 eV per atom
DFT formation energy: -367 kJ/mol of formula units
V: 14.8 A^3/atom

Cell: 5.518 5.518 3.884 Å, 90.00 90.00 90.00°
Space group P4/mmm (No. 123)
Unique sites:
Sc  0.000  0.000  0.000 (multiplicity 1)
Rh  0.000  0.500  0.000 (multiplicity 2)
Rh  0.258  0.258  0.500 (multiplicity 4)
W  0.500  0.500  0.000 (multiplicity 1)

[4]
Entry from Alexandria: a geometry-optimized ScRhW2 structure (PBE).

Calculated values
ΔE to the lowest computed polymorph: 287 meV/atom
Total magnetization: 0.000 μB per atom
E: -9.745 eV per atom
DFT formation energy: 59 kJ/mol of formula units
V: 16.7 A^3/atom

Cell: 2.8795 2.8795 27.8503 Å, 90.00 90.00 120.00°
Space group R3m (No. 160, hexagonal axes)
Unique sites:
Sc  0.0000  0.0000  0.0000 (multiplicity 3)
Rh  0.0000  0.0000  0.2511 (multiplicity 3)
W  0.0000  0.0000  0.5075 (multiplicity 3)
W  0.0000  0.0000  0.7549 (multiplicity 3)

The highest E belongs to which entry?
Sc2RhW

Which formula does entry 1 have?
ScRhW2